# 1
A plane-wave DFT calculation with GGA-PBE was carried out for a geometry-optimized Na4Tl5Bi2 structure.

Lattice parameters (Å, degrees): 10.189 3.569 10.342 90.00 119.23 90.00
Positions (direct):
Na  0.000  0.000  0.229
Na  0.000  0.000  0.771
Na  0.488  0.000  0.233
Na  0.512  0.000  0.767
Tl  0.000  0.500  0.500
Tl  0.177  0.500  0.095
Tl  0.319  0.500  0.449
Tl  0.681  0.500  0.551
Tl  0.823  0.500  0.905
Bi  0.310  0.500  0.872
Bi  0.690  0.500  0.128

## Properties
Size of the total moment in μB/f.u.: 0.0
Formation energy from the elements in kJ/mol of atoms: -10
Final energy in eV per atom: -2.36

---

# 2
A plane-wave DFT calculation with GGA-PBE was carried out for a geometry-optimized Na2TlBi6 structure.

Lattice parameters (Å, degrees): 6.651 6.651 6.638 96.25 96.25 96.35
Positions (direct):
Na  0.168  0.168  0.169
Na  0.832  0.832  0.831
Tl  0.500  0.500  0.500
Bi  0.000  0.328  0.671
Bi  0.000  0.672  0.329
Bi  0.328  0.000  0.671
Bi  0.329  0.671  0.000
Bi  0.671  0.329  0.000
Bi  0.672  0.000  0.329

## Properties
Size of the total moment in μB/f.u.: 0.0
Polymorph energy (0 for the lowest one) in eV/atom: 0.000
Formation energy from the elements in kJ/mol of atoms: -11
Final energy in eV per atom: -3.26

---

# 3
A plane-wave DFT calculation with GGA-PBE was carried out for a geometry-optimized NaTlBi structure.

Lattice parameters (Å, degrees): 7.551 7.551 7.551 90.00 90.00 90.00
Positions (direct):
Na  0.000  0.000  0.000
Na  0.000  0.500  0.500
Na  0.500  0.000  0.500
Na  0.500  0.500  0.000
Tl  0.000  0.000  0.500
Tl  0.000  0.500  0.000
Tl  0.500  0.000  0.000
Tl  0.500  0.500  0.500
Bi  0.250  0.250  0.250
Bi  0.250  0.750  0.750
Bi  0.750  0.250  0.750
Bi  0.750  0.750  0.250

## Properties
Size of the total moment in μB/f.u.: 0.0
Polymorph energy (0 for the lowest one) in eV/atom: 0.088
Formation energy from the elements in kJ/mol of atoms: -11
Final energy in eV per atom: -2.63

---

# 4
A plane-wave DFT calculation with GGA-PBE was carried out for a geometry-optimized NaTlBi structure.

Lattice parameters (Å, degrees): 6.701 6.701 9.363 90.00 90.00 117.84
Positions (direct):
Na  0.127  0.373  0.250
Na  0.373  0.127  0.750
Na  0.627  0.873  0.250
Na  0.873  0.627  0.750
Tl  0.122  0.878  0.411
Tl  0.378  0.622  0.911
Tl  0.622  0.378  0.089
Tl  0.878  0.122  0.589
Bi  0.126  0.874  0.068
Bi  0.374  0.626  0.568
Bi  0.626  0.374  0.432
Bi  0.874  0.126  0.932

## Properties
Size of the total moment in μB/f.u.: 0.0
Polymorph energy (0 for the lowest one) in eV/atom: 0.050
Formation energy from the elements in kJ/mol of atoms: -14
Final energy in eV per atom: -2.67

---

# 5
A plane-wave DFT calculation with GGA-PBE was carried out for a geometry-optimized Na2Tl3Bi structure.

Lattice parameters (Å, degrees): 7.342 4.795 10.754 90.00 109.55 90.00
Positions (direct):
Na  0.084  0.250  0.414
Na  0.415  0.250  0.086
Na  0.585  0.750  0.914
Na  0.916  0.750  0.586
Tl  0.084  0.750  0.910
Tl  0.249  0.750  0.250
Tl  0.417  0.750  0.590
Tl  0.583  0.250  0.410
Tl  0.751  0.250  0.750
Tl  0.916  0.250  0.090
Bi  0.251  0.250  0.750
Bi  0.749  0.750  0.250

## Properties
Size of the total moment in μB/f.u.: 0.0
Polymorph energy (0 for the lowest one) in eV/atom: 0.000
Formation energy from the elements in kJ/mol of atoms: -16
Final energy in eV per atom: -2.44

---

# 6
A plane-wave DFT calculation with GGA-PBE was carried out for a geometry-optimized Na3Tl4Bi3 structure.

Lattice parameters (Å, degrees): 3.597 9.598 9.598 103.07 90.00 90.00
Positions (direct):
Na  0.000  0.000  0.000
Na  0.500  0.397  0.815
Na  0.500  0.815  0.397
Tl  0.500  0.029  0.737
Tl  0.500  0.212  0.212
Tl  0.500  0.476  0.476
Tl  0.500  0.737  0.029
Bi  0.000  0.157  0.502
Bi  0.000  0.502  0.157
Bi  0.000  0.715  0.715

## Properties
Size of the total moment in μB/f.u.: 0.0
Formation energy from the elements in kJ/mol of atoms: -9
Final energy in eV per atom: -2.60